1.
Below is a geometry-optimized Pm15Dy2In2 structure, with properties calculated at the PBE level.

Cell: 8.721 8.721 8.721 Å, 79.44 79.44 79.44°
Element x y z (fractional)
Pm  0.000  0.000  0.500
Pm  0.000  0.292  0.708
Pm  0.000  0.500  0.000
Pm  0.000  0.708  0.292
Pm  0.158  0.625  0.625
Pm  0.292  0.000  0.708
Pm  0.292  0.708  0.000
Pm  0.375  0.375  0.842
Pm  0.375  0.842  0.375
Pm  0.500  0.000  0.000
Pm  0.625  0.158  0.625
Pm  0.625  0.625  0.158
Pm  0.708  0.000  0.292
Pm  0.708  0.292  0.000
Pm  0.842  0.375  0.375
Dy  0.311  0.311  0.311
Dy  0.689  0.689  0.689
In  0.095  0.095  0.095
In  0.905  0.905  0.905

Output
The calculation puts the raw total energy at -0.16106 hartree per atom. Its space-group type is R-3m. Its formation energy from the elements is 0.140 eV/atom.

2.
Below is a geometry-optimized KMgBe2 structure, with properties calculated at the PBE level.

Cell: 3.001 3.001 29.768 Å, 90.00 90.00 120.00°
Element x y z (fractional)
K  0.000  0.000  0.000
K  0.333  0.667  0.667
K  0.667  0.333  0.333
Mg  0.000  0.000  0.500
Mg  0.333  0.667  0.167
Mg  0.667  0.333  0.833
Be  0.000  0.000  0.238
Be  0.000  0.000  0.762
Be  0.333  0.667  0.429
Be  0.333  0.667  0.904
Be  0.667  0.333  0.096
Be  0.667  0.333  0.571

Output
The calculation puts the raw total energy at -0.05640 hartree per atom. Its space-group type is R-3m. Its formation energy from the elements is 1.002 eV/atom.

3.
Below is a geometry-optimized Ce3Nd2HoTe6 structure, with properties calculated at the PBE level.

Cell: 7.713 7.713 7.784 Å, 99.50 99.50 120.05°
Element x y z (fractional)
Ce  0.000  0.000  0.000
Ce  0.328  0.672  0.000
Ce  0.672  0.328  0.000
Nd  0.166  0.834  0.500
Nd  0.834  0.166  0.500
Ho  0.500  0.500  0.500
Te  0.094  0.419  0.256
Te  0.259  0.259  0.749
Te  0.419  0.094  0.256
Te  0.581  0.906  0.744
Te  0.741  0.741  0.251
Te  0.906  0.581  0.744

Output
The calculation puts the raw formation energy at -1374.1 meV/atom. The calculation puts the raw total energy at -0.20596 hartree per atom. Its space-group type is C2/m.

4.
Below is a geometry-optimized KAgPbF4 structure, with properties calculated at the PBE level.

Cell: 7.500 7.500 7.500 Å, 120.11 118.57 91.15°
Element x y z (fractional)
K  0.387  0.137  0.250
K  0.613  0.863  0.750
Ag  0.000  0.000  0.500
Ag  0.000  0.500  0.000
Pb  0.000  0.500  0.500
Pb  0.500  0.500  0.000
F  0.194  0.732  0.462
F  0.230  0.268  0.962
F  0.255  0.293  0.538
F  0.255  0.718  0.962
F  0.745  0.282  0.038
F  0.745  0.707  0.462
F  0.770  0.732  0.038
F  0.806  0.268  0.538

Output
The calculation puts the raw formation energy at -2058.3 meV/atom. The calculation puts the raw total energy at -0.15514 hartree per atom. Its space-group type is Imma.

5.
Below is a geometry-optimized InCo2ReHg structure, with properties calculated at the PBE level.

Cell: 4.717 4.717 5.077 Å, 90.00 90.00 90.00°
Element x y z (fractional)
In  0.000  0.000  0.000
Co  0.000  0.500  0.500
Co  0.500  0.000  0.500
Re  0.500  0.500  0.000
Hg  0.500  0.500  0.500

Output
The calculation puts the raw total energy at -0.14762 hartree per atom. Its space-group type is P4/mmm. Its formation energy from the elements is 1.923 eV/atom.

6.
Below is a geometry-optimized CoCu3As structure, with properties calculated at the PBE level.

Cell: 4.391 4.391 4.391 Å, 90.00 90.00 90.00°
Element x y z (fractional)
Co  0.000  0.000  0.000
Cu  0.000  0.000  0.500
Cu  0.000  0.500  0.000
Cu  0.500  0.000  0.000
As  0.500  0.500  0.500

Output
Its offset from the most stable computed form is 140 meV/atom. The calculation puts the raw total energy at -0.14078 hartree per atom. Its space-group type is Pm-3m. Its formation energy from the elements is 0.978 eV/atom.

7.
Below is a geometry-optimized NbCo4Ag structure, with properties calculated at the PBE level.

Cell: 4.776 4.776 4.776 Å, 60.00 60.00 60.00°
Element x y z (fractional)
Nb  0.000  0.000  0.000
Co  0.375  0.375  0.375
Co  0.375  0.375  0.875
Co  0.375  0.875  0.375
Co  0.875  0.375  0.375
Ag  0.750  0.750  0.750

Output
The calculation puts the raw total energy at -0.25249 hartree per atom. Its space-group type is F-43m. Its formation energy from the elements is 0.020 eV/atom.

8.
Below is a geometry-optimized KSn3Ru structure, with properties calculated at the PBE level.

Cell: 5.249 5.249 5.249 Å, 90.00 90.00 90.00°
Element x y z (fractional)
K  0.000  0.000  0.000
Sn  0.000  0.500  0.500
Sn  0.500  0.000  0.500
Sn  0.500  0.500  0.000
Ru  0.500  0.500  0.500

Output
Its offset from the most stable computed form is 0 meV/atom. The calculation puts the raw total energy at -0.16149 hartree per atom. Its space-group type is Pm-3m. Its formation energy from the elements is 0.082 eV/atom.

9.
Below is a geometry-optimized LiSn2I structure, with properties calculated at the PBE level.

Cell: 7.693 7.693 7.693 Å, 90.00 90.00 90.00°
Element x y z (fractional)
Li  0.000  0.000  0.000
Li  0.000  0.500  0.500
Li  0.500  0.000  0.500
Li  0.500  0.500  0.000
Sn  0.250  0.250  0.250
Sn  0.250  0.250  0.750
Sn  0.250  0.750  0.250
Sn  0.250  0.750  0.750
Sn  0.750  0.250  0.250
Sn  0.750  0.250  0.750
Sn  0.750  0.750  0.250
Sn  0.750  0.750  0.750
I  0.000  0.000  0.500
I  0.000  0.500  0.000
I  0.500  0.000  0.000
I  0.500  0.500  0.500

Output
The calculation puts the raw formation energy at 213.6 meV/atom. Its offset from the most stable computed form is 473 meV/atom. The calculation puts the raw total energy at -0.09752 hartree per atom. Its space-group type is Fm-3m.

10.
Below is a geometry-optimized BiRuS3 structure, with properties calculated at the PBE level.

Cell: 4.653 4.653 4.653 Å, 90.00 90.00 90.00°
Element x y z (fractional)
Bi  0.000  0.000  0.000
Ru  0.500  0.500  0.500
S  0.000  0.500  0.500
S  0.500  0.000  0.500
S  0.500  0.500  0.000

Output
The calculation puts the raw formation energy at 189.9 meV/atom. Its offset from the most stable computed form is 0 meV/atom. The calculation puts the raw total energy at -0.18073 hartree per atom. Its space-group type is Pm-3m.

11.
Below is a geometry-optimized Sr2Li3Ge2 structure, with properties calculated at the PBE level.

Cell: 11.046 4.726 7.000 Å, 90.00 108.15 90.00°
Element x y z (fractional)
Sr  0.145  0.000  0.277
Sr  0.355  0.500  0.723
Sr  0.645  0.500  0.277
Sr  0.855  0.000  0.723
Li  0.000  0.500  0.500
Li  0.140  0.500  0.923
Li  0.360  0.000  0.077
Li  0.500  0.000  0.500
Li  0.640  0.000  0.923
Li  0.860  0.500  0.077
Ge  0.147  0.000  0.744
Ge  0.353  0.500  0.256
Ge  0.647  0.500  0.744
Ge  0.853  0.000  0.256

Output
The calculation puts the raw total energy at -0.11000 hartree per atom. Its space-group type is C2/m. Its formation energy from the elements is -0.373 eV/atom.

12.
Below is a geometry-optimized KBaAgCl structure, with properties calculated at the PBE level.

Cell: 8.144 8.144 8.144 Å, 90.00 90.00 90.00°
Element x y z (fractional)
K  0.000  0.000  0.000
K  0.000  0.500  0.500
K  0.500  0.000  0.500
K  0.500  0.500  0.000
Ba  0.000  0.000  0.500
Ba  0.000  0.500  0.000
Ba  0.500  0.000  0.000
Ba  0.500  0.500  0.500
Ag  0.250  0.250  0.750
Ag  0.250  0.750  0.250
Ag  0.750  0.250  0.250
Ag  0.750  0.750  0.750
Cl  0.250  0.250  0.250
Cl  0.250  0.750  0.750
Cl  0.750  0.250  0.750
Cl  0.750  0.750  0.250

Output
The calculation puts the raw formation energy at -780.0 meV/atom. The calculation puts the raw total energy at -0.09957 hartree per atom. Its space-group type is F-43m.

13.
Below is a geometry-optimized Ce4SmIn structure, with properties calculated at the PBE level.

Cell: 6.251 6.251 6.251 Å, 60.00 60.00 60.00°
Element x y z (fractional)
Ce  0.386  0.386  0.386
Ce  0.386  0.386  0.843
Ce  0.386  0.843  0.386
Ce  0.843  0.386  0.386
Sm  0.000  0.000  0.000
In  0.750  0.750  0.750

Output
The calculation puts the raw total energy at -0.18750 hartree per atom. Its space-group type is F-43m. Its formation energy from the elements is 0.097 eV/atom.

14.
Below is a geometry-optimized NdGaPt3 structure, with properties calculated at the PBE level.

Cell: 6.305 6.324 5.269 Å, 90.00 90.00 90.00°
Element x y z (fractional)
Nd  0.000  0.000  0.000
Nd  0.500  0.500  0.000
Ga  0.000  0.500  0.500
Ga  0.500  0.000  0.500
Pt  0.000  0.500  0.000
Pt  0.149  0.150  0.500
Pt  0.351  0.650  0.500
Pt  0.500  0.000  0.000
Pt  0.649  0.350  0.500
Pt  0.851  0.850  0.500

Output
Its offset from the most stable computed form is 236 meV/atom. The calculation puts the raw total energy at -0.21262 hartree per atom. Its space-group type is Pbam. Its formation energy from the elements is -0.602 eV/atom.

15.
Below is a geometry-optimized Ba3In2Pt7 structure, with properties calculated at the PBE level.

Cell: 9.579 9.579 9.579 Å, 35.59 35.59 35.59°
Element x y z (fractional)
Ba  0.000  0.000  0.000
Ba  0.141  0.141  0.141
Ba  0.859  0.859  0.859
In  0.332  0.332  0.332
In  0.668  0.668  0.668
Pt  0.087  0.578  0.578
Pt  0.422  0.422  0.913
Pt  0.422  0.913  0.422
Pt  0.500  0.500  0.500
Pt  0.578  0.087  0.578
Pt  0.578  0.578  0.087
Pt  0.913  0.422  0.422

Output
The calculation puts the raw total energy at -0.18856 hartree per atom. Its space-group type is R-3m. Its formation energy from the elements is -0.670 eV/atom.

16.
Below is a geometry-optimized Sr3Ag2Hg4Au2 structure, with properties calculated at the PBE level.

Cell: 4.970 4.970 14.275 Å, 90.00 90.00 120.00°
Element x y z (fractional)
Sr  0.000  0.000  0.000
Sr  0.000  0.000  0.275
Sr  0.000  0.000  0.725
Ag  0.333  0.667  0.615
Ag  0.667  0.333  0.385
Hg  0.333  0.667  0.412
Hg  0.333  0.667  0.854
Hg  0.667  0.333  0.146
Hg  0.667  0.333  0.588
Au  0.333  0.667  0.133
Au  0.667  0.333  0.867

Output
The calculation puts the raw total energy at -0.07681 hartree per atom. Its space-group type is P-3m1. Its formation energy from the elements is -0.407 eV/atom.

17.
Below is a geometry-optimized ErScTlOs structure, with properties calculated at the PBE level.

Cell: 6.945 6.945 6.945 Å, 90.00 90.00 90.00°
Element x y z (fractional)
Er  0.000  0.000  0.000
Er  0.000  0.500  0.500
Er  0.500  0.000  0.500
Er  0.500  0.500  0.000
Sc  0.000  0.000  0.500
Sc  0.000  0.500  0.000
Sc  0.500  0.000  0.000
Sc  0.500  0.500  0.500
Tl  0.250  0.250  0.250
Tl  0.250  0.750  0.750
Tl  0.750  0.250  0.750
Tl  0.750  0.750  0.250
Os  0.250  0.250  0.750
Os  0.250  0.750  0.250
Os  0.750  0.250  0.250
Os  0.750  0.750  0.750

Output
Its offset from the most stable computed form is 202 meV/atom. The calculation puts the raw total energy at -0.23163 hartree per atom. Its space-group type is F-43m. Its formation energy from the elements is -0.180 eV/atom.

18.
Below is a geometry-optimized SiB3 structure, with properties calculated at the PBE level.

Cell: 2.873 3.127 4.494 Å, 107.07 90.12 117.14°
Element x y z (fractional)
Si  0.000  0.000  0.000
B  0.374  0.740  0.273
B  0.610  0.210  0.633
B  0.903  0.796  0.527

Output
The calculation puts the raw formation energy at 333.4 meV/atom. Its offset from the most stable computed form is 375 meV/atom. The calculation puts the raw total energy at -0.22161 hartree per atom. Its space-group type is P1.

19.
Below is a geometry-optimized LaTb2N structure, with properties calculated at the PBE level.

Cell: 3.184 3.184 9.135 Å, 90.00 90.00 90.00°
Element x y z (fractional)
La  0.000  0.000  0.000
Tb  0.500  0.500  0.345
Tb  0.500  0.500  0.655
N  0.000  0.000  0.500

Output
The calculation puts the raw formation energy at -173.1 meV/atom. Its offset from the most stable computed form is 530 meV/atom. The calculation puts the raw total energy at -0.21320 hartree per atom. Its space-group type is P4/mmm.

20.
Below is a geometry-optimized ErTiN structure, with properties calculated at the PBE level.

Cell: 2.990 10.030 6.049 Å, 90.00 90.00 90.00°
Element x y z (fractional)
Er  0.000  0.240  0.250
Er  0.000  0.760  0.750
Er  0.500  0.260  0.750
Er  0.500  0.740  0.250
Ti  0.000  0.500  0.000
Ti  0.000  0.500  0.500
Ti  0.500  0.000  0.000
Ti  0.500  0.000  0.500
N  0.000  0.020  0.750
N  0.000  0.980  0.250
N  0.500  0.480  0.250
N  0.500  0.520  0.750

Output
The calculation puts the raw formation energy at -848.6 meV/atom. Its offset from the most stable computed form is 170 meV/atom. The calculation puts the raw total energy at -0.28578 hartree per atom. Its space-group type is Cmcm.